*a*
4
Lattice="1.1594 -4.2980 2.0491 1.1787 -0.2103 4.7521 -3.0672 -2.0981 3.1948" Properties=species:S:1:pos:R:3 comment="BaLiNi2 (GGA-PBE, optimized geometry)" volume_a3_per_cell=83 m_tot_mub_per_cell=0.000 pbc="T T T"
Ni -0.5468 -4.9548 7.4970
Ba -0.3646 -3.3032 4.9980
Ni -0.1823 -1.6516 2.4990
Li 0.0000 0.0000 0.0000

*b*
4
Lattice="5.2084 -0.0960 0.0356 0.7225 5.1590 -0.0356 -2.3924 -3.2028 3.3402" Properties=species:S:1:pos:R:3 comment="BaLiNi2 (GGA-PBE, optimized geometry)" volume_a3_per_cell=90 m_tot_mub_per_cell=0.307 pbc="T T T"
Ni 5.6351 4.8105 0.0000
Ba 3.0721 2.6225 0.0000
Ni 3.4501 0.0939 1.6879
Li 0.2775 1.9277 1.6523

Most stable: *b*. Least stable: *a*.

*a*
4
Lattice="-3.7340 4.6832 0.3167 -5.8541 1.0169 0.8185 -3.5713 2.6188 4.0451" Properties=species:S:1:pos:R:3 comment="BaLiNi2 (GGA-PBE, optimized geometry)" volume_a3_per_cell=86 m_tot_mub_per_cell=0.287 pbc="T T T"
Li -3.2898 2.0797 1.2951
Ni -7.5011 4.7419 2.9529
Ni -12.2379 7.7364 4.8176
Ba -9.8695 6.2392 3.8852

*b*
4
Lattice="4.1811 -0.0111 0.0379 2.1006 3.6151 0.0379 2.0378 1.1691 5.6068" Properties=species:S:1:pos:R:3 comment="BaLiNi2 (GGA-PBE, optimized geometry)" volume_a3_per_cell=85 m_tot_mub_per_cell=0.426 pbc="T T T"
Li 2.0906 1.1994 0.5180
Ba 4.1546 2.3836 3.0279
Ni 2.0414 1.1712 5.3086
Ni 6.2306 3.5746 5.2763

*c*
4
Lattice="3.3230 0.0000 0.0000 0.0000 3.3230 0.0000 0.0000 0.0000 7.6650" Properties=species:S:1:pos:R:3 comment="BaLiNi2 (GGA-PBE, optimized geometry)" volume_a3_per_cell=85 m_tot_mub_per_cell=1.183 pbc="T T T"
Ni 1.6615 1.6615 1.1695
Ba 0.0000 0.0000 3.3967
Li 1.6615 1.6615 6.4738
Ni 0.0000 0.0000 0.4575

Most stable: *b*. Least stable: *c*.

*a*
4
Lattice="-0.6069 1.5732 3.9892 1.5697 -3.6636 1.6944 3.7759 1.5927 -0.0533" Properties=species:S:1:pos:R:3 comment="BaLiNi2 (GGA-PBE, optimized geometry)" volume_a3_per_cell=77 m_tot_mub_per_cell=0.000 pbc="T T T"
Ni 0.4814 -1.0452 2.8418
Ni 0.0000 0.0000 0.0000
Ba 1.5845 1.5829 1.9679
Li 2.6728 -1.0355 0.8206

*b*
8
Lattice="4.7048 0.0000 0.0000 0.0000 4.7048 0.0000 2.3524 2.3524 8.2947" Properties=species:S:1:pos:R:3 comment="BaLiNi2 (GGA-PBE, optimized geometry)" volume_a3_per_cell=184 m_tot_mub_per_cell=0.521 pbc="T T T"
Ni 2.3544 1.1762 2.0737
Ba 0.0000 0.0000 0.0000
Li 2.3524 4.7048 4.1474
Li 2.3524 2.3524 0.0000
Ni 2.3504 3.5286 2.0737
Ba 4.7048 2.3524 4.1474
Ni 3.5286 4.7029 6.2210
Ni 5.8810 4.7068 6.2210

*c*
4
Lattice="4.1722 0.0000 0.0000 0.0000 4.2027 0.0840 0.0000 1.9632 5.4114" Properties=species:S:1:pos:R:3 comment="BaLiNi2 (GGA-PBE, optimized geometry)" volume_a3_per_cell=94 m_tot_mub_per_cell=0.001 pbc="T T T"
Ba 0.0000 2.8401 2.3859
Ni 2.0861 0.7710 0.8719
Li 2.0861 4.8657 4.9275
Ni 0.0000 0.7719 0.0578

Most stable: *c*. Least stable: *a*.